[1]
## RbTiTl (PBE)

Data for RbTiTl after structural relaxation.

Its raw total energy is -3.50 eV/atom. The calculation puts the density of states at the Fermi level at 3.61 states/eV/cell. The distance to the lowest polymorph of the same formula is 0.0688 eV/atom.

It has space group P-1 (No. 2), with a = 4.5845 Å, b = 4.6765 Å, c = 12.7232 Å, α = 79.50°, β = 80.43° and γ = 60.71°. Symmetry generates all atoms from Rb at (0.2328, 0.2371, 0.3237), Ti at (0.3544, 0.2937, 0.9985) and Tl at (0.0370, 0.0385, 0.8779).

=====

[2]
## RbTi2Tl (PBE)

Data for RbTi2Tl after structural relaxation.

Its raw total energy is -3.80 eV/atom. The calculation puts the density of states at the Fermi level at 23.82 states/eV/cell. The distance to the lowest polymorph of the same formula is 0.0000 eV/atom.

It has space group I-42d (No. 122), with a = 4.8644 Å, b = 4.8644 Å, c = 21.5897 Å, α = 90.00°, β = 90.00° and γ = 90.00°. Symmetry generates all atoms from Rb at (0.0000, 0.0000, 0.0000), Ti at (0.0303, 0.2500, 0.6250) and Tl at (0.0000, 0.0000, 0.5000).

=====

[3]
## RbTi2Tl (PBE)

Data for RbTi2Tl after structural relaxation.

Its raw total energy is -3.75 eV/atom. The calculation puts the density of states at the Fermi level at 26.72 states/eV/cell. The distance to the lowest polymorph of the same formula is 0.0483 eV/atom.

It has space group Fm-3m (No. 225), with a = 7.1565 Å, b = 7.1565 Å, c = 7.1565 Å, α = 90.00°, β = 90.00° and γ = 90.00°. Symmetry generates all atoms from Rb at (0.0000, 0.0000, 0.0000), Ti at (0.2500, 0.2500, 0.2500) and Tl at (0.0000, 0.0000, 0.5000).

=====

[4]
## RbYTi2Tl (PBE)

Data for RbYTi2Tl after structural relaxation.

Its raw total energy is -3.53 eV/atom. The calculation puts the density of states at the Fermi level at 6.93 states/eV/cell.

It has space group P4/mmm (No. 123), with a = 4.8091 Å, b = 4.8091 Å, c = 5.8716 Å, α = 90.00°, β = 90.00° and γ = 90.00°. Symmetry generates all atoms from Rb at (0.0000, 0.0000, 0.0000), Y at (0.5000, 0.5000, 0.5000), Ti at (0.0000, 0.5000, 0.0000) and Tl at (0.0000, 0.0000, 0.5000).

=====

[5]
## RbTiV2 (PBE)

Data for RbTiV2 after structural relaxation.

Its raw total energy is -5.03 eV/atom. The calculation puts the density of states at the Fermi level at 28.00 states/eV/cell. The distance to the lowest polymorph of the same formula is 0.1032 eV/atom.

It has space group I4_1/amd (No. 141, origin choice 2), with a = 5.0643 Å, b = 5.0643 Å, c = 18.0880 Å, α = 90.00°, β = 90.00° and γ = 90.00°. Symmetry generates all atoms from Rb at (0.0000, 0.2500, 0.3750), Ti at (0.0000, 0.2500, 0.8750) and V at (0.0000, 0.0000, 0.0000).

=====

[6]
## Rb2TiV2 (PBE)

Data for Rb2TiV2 after structural relaxation.

Its raw total energy is -4.20 eV/atom. The calculation puts the density of states at the Fermi level at 15.27 states/eV/cell. The distance to the lowest polymorph of the same formula is 0.0000 eV/atom.

It has space group I4/mmm (No. 139), with a = 4.2397 Å, b = 4.2397 Å, c = 15.6870 Å, α = 90.00°, β = 90.00° and γ = 90.00°. Symmetry generates all atoms from Rb at (0.0000, 0.5000, 0.2500), Ti at (0.0000, 0.0000, 0.0000) and V at (0.0000, 0.0000, 0.4410).